The following is a DFT calculation (PBE) of a geometry-optimized AgPSe2 structure. Values from VASP.

Properties
Total energy   -3.720 eV/atom
ρ   5.936 g/cm3
Formation energy (no corrections)   0.09 eV/atom

Geometry as Quantum ESPRESSO input:
```
&SYSTEM
  ibrav = 0, nat = 4, ntyp = 3
/
ATOMIC_SPECIES
P 30.97 P.upf
Ag 107.87 Ag.upf
Se 78.96 Se.upf
ATOMIC_POSITIONS crystal
P 0.000 0.000 0.000
Ag 0.000 0.000 0.500
Se 0.333 0.667 0.221
Se 0.667 0.333 0.779
CELL_PARAMETERS angstrom
1.884 -3.263 0.000
1.884 3.263 0.000
0.000 0.000 6.753
```